Model a:
This record from Alexandria via LeMat-Bulk describes crystalline ZnPPb at its relaxed geometry. The functional is PBE-GGA.

Cell lengths 4.637, 4.637, 4.637 Å; angles 60.00, 60.00, 60.00 degrees
Positions (direct):
Zn1 0.250 0.250 0.250
Pb1 0.500 0.500 0.500
P1 0.000 0.000 0.000

Values from the calculation:
DOS at the Fermi energy ... 1.19 states/eV/f.u.
Mass density ... 7.15 g/cm3
Volume ... 70 Å³ per cell

Model b:
This record from Alexandria via LeMat-Bulk describes crystalline ZnPPb at its relaxed geometry. The functional is PBE-GGA.

Cell lengths 6.377, 6.377, 3.481 Å; angles 74.17, 74.16, 31.67 degrees
Positions (direct):
P1 0.912 0.912 0.088
Pb1 0.679 0.679 0.321
Zn1 0.409 0.409 0.591

Values from the calculation:
DOS at the Fermi energy ... 1.76 states/eV/f.u.
Mass density ... 7.07 g/cm3
Volume ... 71 Å³ per cell

Model c:
This record from Alexandria via LeMat-Bulk describes crystalline ZnPPb at its relaxed geometry. The functional is PBE-GGA.

Cell lengths 4.944, 3.964, 3.964 Å; angles 120.00, 90.00, 90.00 degrees
Positions (direct):
Pb1 0.672 0.667 0.333
Zn1 0.228 0.333 0.667
P1 0.100 0.000 0.000

Values from the calculation:
DOS at the Fermi energy ... 0.80 states/eV/f.u.
Mass density ... 7.49 g/cm3
Volume ... 67 Å³ per cell

Last place for stability: model a

Model a:
This record from Alexandria via LeMat-Bulk describes crystalline ZnPPb at its relaxed geometry. The functional is PBE-GGA.

Cell lengths 5.189, 5.189, 5.611 Å; angles 90.00, 90.00, 120.00 degrees
Positions (direct):
Zn1 0.667 0.333 0.250
P1 0.000 0.000 0.000
Pb1 0.333 0.667 0.250
Zn2 0.333 0.667 0.750
P2 0.000 0.000 0.500
Pb2 0.667 0.333 0.750

Values from the calculation:
DOS at the Fermi energy ... 0.84 states/eV/f.u.
Mass density ... 7.71 g/cm3
Volume ... 131 Å³ per cell

Model b:
This record from Alexandria via LeMat-Bulk describes crystalline ZnPPb at its relaxed geometry. The functional is PBE-GGA.

Cell lengths 4.804, 4.804, 4.804 Å; angles 60.00, 60.00, 60.00 degrees
Positions (direct):
Zn1 0.000 0.000 0.000
Pb1 0.250 0.250 0.250
P1 0.500 0.500 0.500

Values from the calculation:
DOS at the Fermi energy ... 2.77 states/eV/f.u.
Mass density ... 6.43 g/cm3
Volume ... 78 Å³ per cell

Last place for stability: model b

Model a:
This record from Alexandria via LeMat-Bulk describes crystalline Zn3PPb at its relaxed geometry. The functional is PBE-GGA.

Cell lengths 4.783, 4.783, 4.783 Å; angles 90.00, 90.00, 90.00 degrees
Positions (direct):
Zn1 0.500 0.000 0.000
Zn2 0.000 0.000 0.500
Zn3 0.000 0.500 0.000
P1 0.000 0.000 0.000
Pb1 0.500 0.500 0.500

Values from the calculation:
DOS at the Fermi energy ... 3.72 states/eV/f.u.
Mass density ... 6.59 g/cm3
Volume ... 109 Å³ per cell

Model b:
This record from Alexandria via LeMat-Bulk describes crystalline Zn3PPb at its relaxed geometry. The functional is PBE-GGA.

Cell lengths 5.252, 5.252, 5.252 Å; angles 90.00, 90.00, 90.00 degrees
Positions (direct):
Pb1 0.000 0.000 0.000
P1 0.500 0.500 0.500
Zn1 0.500 0.000 0.000
Zn2 0.000 0.000 0.500
Zn3 0.000 0.500 0.000

Values from the calculation:
DOS at the Fermi energy ... 3.53 states/eV/f.u.
Mass density ... 4.98 g/cm3
Volume ... 145 Å³ per cell

Last place for stability: model b

Model a:
This record from Alexandria via LeMat-Bulk describes crystalline Zr3PPb at its relaxed geometry. The functional is PBE-GGA.

Cell lengths 5.345, 5.345, 5.345 Å; angles 90.00, 90.00, 90.00 degrees
Positions (direct):
P1 0.500 0.500 0.500
Zr1 0.000 0.500 0.000
Pb1 0.000 0.000 0.000
Zr2 0.500 0.000 0.000
Zr3 0.000 0.000 0.500

Values from the calculation:
DOS at the Fermi energy ... 6.77 states/eV/f.u.
Mass density ... 5.57 g/cm3
Volume ... 153 Å³ per cell

Model b:
This record from Alexandria via LeMat-Bulk describes crystalline Zr3PPb at its relaxed geometry. The functional is PBE-GGA.

Cell lengths 4.917, 4.917, 4.917 Å; angles 90.00, 90.00, 90.00 degrees
Positions (direct):
Zr1 0.500 0.000 0.000
Zr2 0.000 0.000 0.500
Zr3 0.000 0.500 0.000
Pb1 0.500 0.500 0.500
P1 0.000 0.000 0.000

Values from the calculation:
DOS at the Fermi energy ... 6.13 states/eV/f.u.
Mass density ... 7.15 g/cm3
Volume ... 119 Å³ per cell

Model c:
This record from Alexandria via LeMat-Bulk describes crystalline Zr3PPb at its relaxed geometry. The functional is PBE-GGA.

Cell lengths 3.644, 8.034, 8.678 Å; angles 68.80, 77.88, 76.89 degrees
Positions (direct):
Zr1 0.408 0.974 0.211
Zr2 0.753 0.355 0.139
P1 0.614 0.727 0.046
Pb1 0.166 0.213 0.455
P2 0.386 0.273 0.954
Zr3 0.592 0.026 0.789
Zr4 0.951 0.372 0.726
Zr5 0.049 0.628 0.274
Pb2 0.834 0.787 0.545
Zr6 0.247 0.645 0.861

Values from the calculation:
DOS at the Fermi energy ... 4.52 states/eV/f.u.
Mass density ... 7.44 g/cm3
Volume ... 228 Å³ per cell

Last place for stability: model a

Model a:
This record from Alexandria via LeMat-Bulk describes crystalline ZrPPb3 at its relaxed geometry. The functional is PBE-GGA.

Cell lengths 5.323, 5.323, 5.323 Å; angles 90.00, 90.00, 90.00 degrees
Positions (direct):
Pb1 0.000 0.500 0.000
Pb2 0.500 0.000 0.000
Pb3 0.000 0.000 0.500
P1 0.000 0.000 0.000
Zr1 0.500 0.500 0.500

Values from the calculation:
DOS at the Fermi energy ... 7.03 states/eV/f.u.
Mass density ... 8.19 g/cm3
Volume ... 151 Å³ per cell

Model b:
This record from Alexandria via LeMat-Bulk describes crystalline ZrPPb3 at its relaxed geometry. The functional is PBE-GGA.

Cell lengths 5.651, 5.651, 5.651 Å; angles 90.00, 90.00, 90.00 degrees
Positions (direct):
Zr1 0.000 0.000 0.000
Pb1 0.000 0.500 0.000
P1 0.500 0.500 0.500
Pb2 0.500 0.000 0.000
Pb3 0.000 0.000 0.500

Values from the calculation:
DOS at the Fermi energy ... 4.98 states/eV/f.u.
Mass density ... 6.85 g/cm3
Volume ... 180 Å³ per cell

Last place for stability: model b

Model a:
This record from Alexandria via LeMat-Bulk describes crystalline Zr2P2Pb at its relaxed geometry. The functional is PBE-GGA.

Cell lengths 3.694, 3.694, 7.788 Å; angles 76.28, 76.28, 90.00 degrees
Positions (direct):
Zr1 0.380 0.380 0.240
Pb1 0.000 0.000 0.000
P1 0.750 0.250 0.500
Zr2 0.620 0.620 0.760
P2 0.250 0.750 0.500

Values from the calculation:
DOS at the Fermi energy ... 2.81 states/eV/f.u.
Mass density ... 7.49 g/cm3
Volume ... 100 Å³ per cell

Model b:
This record from Alexandria via LeMat-Bulk describes crystalline Zr2P2Pb at its relaxed geometry. The functional is PBE-GGA.

Cell lengths 7.556, 7.556, 3.470 Å; angles 90.00, 90.00, 90.00 degrees
Positions (direct):
P1 0.133 0.367 0.000
P2 0.633 0.133 0.000
Zr1 0.351 0.149 0.500
Zr2 0.649 0.851 0.500
P3 0.867 0.633 0.000
Zr3 0.851 0.351 0.500
Pb1 0.500 0.500 0.000
Pb2 0.000 0.000 0.000
Zr4 0.149 0.649 0.500
P4 0.367 0.867 0.000

Values from the calculation:
DOS at the Fermi energy ... 3.89 states/eV/f.u.
Mass density ... 7.57 g/cm3
Volume ... 198 Å³ per cell

Last place for stability: model a